No. 1
La2Sc | SCAN | PBEsol geometry

Cell: 5.619 5.967 6.230 Å, 118.61 90.00 90.00°
Fractional positions:
La 0.750 0.534 0.685
Sc 0.750 0.172 0.000
La 0.250 0.151 0.685
Sc 0.250 0.828 0.000
La 0.750 0.849 0.315
La 0.250 0.466 0.315

Results
Its energy above the lowest structure with this stoichiometry is 2 kJ/mol of formula units. Its formation energy is 58 meV/atom.

=====

No. 2
ZrTlTe3 | SCAN | PBEsol geometry

Cell: 5.572 5.572 5.572 Å, 90.00 90.00 90.00°
Fractional positions:
Te 0.000 0.500 0.000
Tl 0.500 0.500 0.500
Te 0.000 0.000 0.500
Te 0.500 0.000 0.000
Zr 0.000 0.000 0.000

Results
The value obtained for the raw formation energy is -0.448 eV/atom.

=====

No. 3
TaSi2MoPb | SCAN | PBEsol geometry

Cell: 4.813 4.813 5.346 Å, 90.00 90.00 90.00°
Site moments in Bohr magnetons follow the coordinates.
Fractional positions:
Pb 0.000 0.000 0.500  0.01
Mo 0.500 0.500 0.500  4.01
Si 0.500 0.000 0.000  0.03
Ta 0.000 0.000 0.000  0.08
Si 0.000 0.500 0.000  0.03

Results
The value obtained for the raw formation energy is 1.319 eV/atom.